1.
LuInAs2 after structural relaxation, computed with PBE.

The structure in CIF format:
```
data_LuInAs2
_space_group_name_H-M_alt 'P 1'
_space_group_IT_number 1
_space_group_name_Hall 'P 1'
_cell_length_a 7.1202
_cell_length_b 7.1202
_cell_length_c 7.1202
_cell_angle_alpha 90.00
_cell_angle_beta 90.00
_cell_angle_gamma 90.00
loop_
_atom_site_label
_atom_site_fract_x
_atom_site_fract_y
_atom_site_fract_z
Lu1 0.0000 0.0000 0.0000
Lu2 0.0000 0.5000 0.5000
Lu3 0.5000 0.0000 0.5000
Lu4 0.5000 0.5000 0.0000
In1 0.2500 0.2500 0.7500
In2 0.2500 0.7500 0.2500
In3 0.7500 0.2500 0.2500
In4 0.7500 0.7500 0.7500
As1 0.0000 0.0000 0.5000
As2 0.0000 0.5000 0.0000
As3 0.2500 0.2500 0.2500
As4 0.2500 0.7500 0.7500
As5 0.5000 0.0000 0.0000
As6 0.5000 0.5000 0.5000
As7 0.7500 0.2500 0.7500
As8 0.7500 0.7500 0.2500
```

2.
Ta4Mo2S3N3 after structural relaxation, computed with PBE.

The structure in CIF format:
```
data_Ta4Mo2S3N3
_space_group_name_H-M_alt 'P 1'
_space_group_IT_number 1
_space_group_name_Hall 'P 1'
_cell_length_a 5.7135
_cell_length_b 5.7135
_cell_length_c 11.9626
_cell_angle_alpha 103.30
_cell_angle_beta 103.30
_cell_angle_gamma 58.66
loop_
_atom_site_label
_atom_site_fract_x
_atom_site_fract_y
_atom_site_fract_z
Ta1 0.0120 0.7556 0.9014
Ta2 0.1788 0.3091 0.4050
Ta3 0.2444 0.9880 0.5986
Ta4 0.3091 0.1788 0.9050
Ta5 0.6909 0.8212 0.0950
Ta6 0.7556 0.0120 0.4014
Ta7 0.8212 0.6909 0.5950
Ta8 0.9880 0.2444 0.0986
Mo1 0.4096 0.5294 0.0996
Mo2 0.4706 0.5904 0.4004
Mo3 0.5294 0.4096 0.5996
Mo4 0.5904 0.4706 0.9004
S1 0.0826 0.9174 0.2500
S2 0.2467 0.4111 0.7352
S3 0.4111 0.2467 0.2352
S4 0.5889 0.7533 0.7648
S5 0.7533 0.5889 0.2648
S6 0.9174 0.0826 0.7500
N1 0.0000 0.5000 0.0000
N2 0.1384 0.6883 0.5019
N3 0.3117 0.8616 0.9981
N4 0.5000 0.0000 0.5000
N5 0.6883 0.1384 0.0019
N6 0.8616 0.3117 0.4981
```

For the records above, the corresponding spin magnetization values read 0.012, 0.000 μB per atom.
For the records above, the corresponding energy values read -4.24, -9.43 eV/atom.